An optimized crystal structure of AcTb2PtO8, computed with GGA-PBE.

Properties
- Space-group type: P-1, No. 2
- E: -7.13 eV/atom
- Magnetic moment: 0.299 μB/cell

Unit cell a=4.270 b=5.205 c=7.090 alpha=89.37 beta=72.76 gamma=89.35
Positions (direct):
Ac 0.000 0.000 0.000
Tb 0.371 0.510 0.296
Tb 0.629 0.490 0.704
Pt 0.000 0.000 0.500
O 0.170 0.302 0.610
O 0.188 0.756 0.647
O 0.237 0.498 0.002
O 0.367 0.970 0.235
O 0.633 0.030 0.765
O 0.763 0.502 0.998
O 0.812 0.244 0.353
O 0.830 0.698 0.390

=====

An optimized crystal structure of Ac2TbPtO6, computed with GGA-PBE.

Properties
- Space-group type: C2/m, No. 12
- E: -7.47 eV/atom
- Magnetic moment: 1.009 μB/cell

Unit cell a=6.653 b=6.653 c=5.182 alpha=110.31 beta=110.31 gamma=50.60
Positions (direct):
Ac 0.239 0.239 0.216
Ac 0.761 0.761 0.784
Tb 0.500 0.500 0.000
Pt 0.000 0.000 0.500
O 0.153 0.677 0.208
O 0.305 0.305 0.706
O 0.323 0.847 0.792
O 0.677 0.153 0.208
O 0.695 0.695 0.294
O 0.847 0.323 0.792

=====

An optimized crystal structure of Ac2TbPt3O12, computed with GGA-PBE.

Properties
- Space-group type: R-3m, No. 166
- E: -6.65 eV/atom
- Magnetic moment: 1.411 μB/cell

Unit cell a=6.866 b=6.866 c=6.866 alpha=62.79 beta=62.79 gamma=62.79
Positions (direct):
Ac 0.117 0.117 0.117
Ac 0.883 0.883 0.883
Tb 0.500 0.500 0.500
Pt 0.000 0.500 0.500
Pt 0.500 0.000 0.500
Pt 0.500 0.500 0.000
O 0.066 0.645 0.645
O 0.233 0.233 0.643
O 0.233 0.643 0.233
O 0.355 0.355 0.934
O 0.355 0.934 0.355
O 0.357 0.767 0.767
O 0.643 0.233 0.233
O 0.645 0.066 0.645
O 0.645 0.645 0.066
O 0.767 0.357 0.767
O 0.767 0.767 0.357
O 0.934 0.355 0.355

=====

An optimized crystal structure of AcThPtO6, computed with GGA-PBE.

Properties
- Space-group type: P-31c, No. 163
- E: -7.56 eV/atom
- Magnetic moment: 1.043 μB/cell

Unit cell a=5.699 b=5.699 c=10.552 alpha=90.00 beta=90.00 gamma=120.00
Positions (direct):
Ac 0.000 0.000 0.000
Ac 0.000 0.000 0.500
Th 0.333 0.667 0.250
Th 0.667 0.333 0.750
Pt 0.333 0.667 0.750
Pt 0.667 0.333 0.250
O 0.038 0.377 0.641
O 0.038 0.661 0.859
O 0.339 0.377 0.859
O 0.339 0.962 0.641
O 0.377 0.038 0.141
O 0.377 0.339 0.359
O 0.623 0.661 0.641
O 0.623 0.962 0.859
O 0.661 0.038 0.359
O 0.661 0.623 0.141
O 0.962 0.339 0.141
O 0.962 0.623 0.359

=====

An optimized crystal structure of AcThPt2O8, computed with GGA-PBE.

Properties
- Space-group type: P-3, No. 147
- E: -6.58 eV/atom
- Magnetic moment: 1.803 μB/cell

Unit cell a=6.119 b=6.119 c=7.364 alpha=90.00 beta=90.00 gamma=120.00
Positions (direct):
Ac 0.000 0.000 0.000
Th 0.000 0.000 0.500
Pt 0.333 0.667 0.784
Pt 0.667 0.333 0.216
O 0.150 0.847 0.721
O 0.153 0.303 0.721
O 0.303 0.150 0.279
O 0.333 0.667 0.037
O 0.667 0.333 0.963
O 0.697 0.850 0.721
O 0.847 0.697 0.279
O 0.850 0.153 0.279

=====

An optimized crystal structure of AcTiPtO6, computed with GGA-PBE.

Properties
- Space-group type: P-31c, No. 163
- E: -7.46 eV/atom
- Magnetic moment: 1.947 μB/cell

Unit cell a=5.271 b=5.271 c=10.775 alpha=90.00 beta=90.00 gamma=120.00
Positions (direct):
Ac 0.000 0.000 0.000
Ac 0.000 0.000 0.500
Ti 0.333 0.667 0.250
Ti 0.667 0.333 0.750
Pt 0.333 0.667 0.750
Pt 0.667 0.333 0.250
O 0.004 0.375 0.148
O 0.004 0.629 0.352
O 0.371 0.375 0.352
O 0.371 0.996 0.148
O 0.375 0.004 0.648
O 0.375 0.371 0.852
O 0.625 0.629 0.148
O 0.625 0.996 0.352
O 0.629 0.004 0.852
O 0.629 0.625 0.648
O 0.996 0.371 0.648
O 0.996 0.625 0.852

=====

An optimized crystal structure of Ac2TlPtO5, computed with GGA-PBE.

Properties
- Space-group type: P4/mbm, No. 127
- E: -6.67 eV/atom
- Magnetic moment: 2.105 μB/cell

Unit cell a=7.313 b=7.313 c=5.926 alpha=90.00 beta=90.00 gamma=90.00
Positions (direct):
Ac 0.182 0.318 0.000
Ac 0.318 0.818 0.000
Ac 0.682 0.182 0.000
Ac 0.818 0.682 0.000
Tl 0.000 0.000 0.500
Tl 0.500 0.500 0.500
Pt 0.000 0.500 0.500
Pt 0.500 0.000 0.500
O 0.000 0.000 0.000
O 0.129 0.629 0.251
O 0.129 0.629 0.749
O 0.371 0.129 0.251
O 0.371 0.129 0.749
O 0.500 0.500 0.000
O 0.629 0.871 0.251
O 0.629 0.871 0.749
O 0.871 0.371 0.251
O 0.871 0.371 0.749

=====

An optimized crystal structure of AcTl2PtO8, computed with GGA-PBE.

Properties
- Space-group type: P-1, No. 2
- E: -5.47 eV/atom
- Magnetic moment: 0.390 μB/cell

Unit cell a=4.741 b=5.377 c=7.125 alpha=100.53 beta=91.63 gamma=91.02
Positions (direct):
Ac 0.000 0.000 0.000
Tl 0.467 0.435 0.750
Tl 0.533 0.565 0.250
Pt 0.000 0.000 0.500
O 0.072 0.740 0.265
O 0.165 0.807 0.672
O 0.352 0.196 0.484
O 0.464 0.251 0.027
O 0.536 0.749 0.973
O 0.648 0.804 0.516
O 0.835 0.193 0.328
O 0.928 0.260 0.735